# 1
The following is a DFT calculation (PBE) of a relaxed La3Ni2Pt7 crystal.

abc: 5.4742 5.4742 26.1095
angles: 90.00 90.00 120.00
With the nearest neighbours (Å) after each atom.
Space group R-3m (No. 166, hexagonal axes)
Inequivalent atoms, fractional coordinates:
La 0.0000 0.0000 0.0000 [3 per cell]  6 Ni 3.16, 12 Pt 3.43
La 0.0000 0.0000 0.1391 [6 per cell]  12 Pt 3.15-3.39, 3 La 3.47
Ni 0.0000 0.0000 0.3329 [6 per cell]  6 Pt 2.59-2.62
Pt 0.0000 0.0000 0.5000 [3 per cell]  6 Pt 2.78
Pt 0.0024 0.5012 0.9209 [18 per cell]  2 Ni 2.59-2.62, 5 Pt 2.72-2.78

Results
ΔH_f (0 K): -0.89 eV per atom
V: 18.8 Å³ per atom
total energy: -6.6088 eV per atom
DOS(E_F): 36.99 states/eV per cell

---

# 2
The following is a DFT calculation (PBE) of a relaxed La2Ni2Pt15 crystal.

abc: 9.2800 9.2800 13.4474
angles: 90.00 90.00 120.00
With the nearest neighbours (Å) after each atom.
Space group R-3m (No. 166, hexagonal axes)
Inequivalent atoms, fractional coordinates:
La 0.0000 0.0000 0.1634 [6 per cell]  18 Pt 3.23-3.56, 1 Ni 3.28
Ni 0.0000 0.0000 0.4074 [6 per cell]  1 Ni 2.49
Pt 0.0000 0.3051 0.5000 [18 per cell]  8 Pt 2.66-2.83
Pt 0.0000 0.5000 0.0000 [9 per cell]  8 Pt 2.66-2.68, 2 Ni 2.86
Pt 0.0004 0.5002 0.3444 [18 per cell]  8 Pt 2.68-2.79, 1 Ni 2.91

Results
ΔH_f (0 K): -0.42 eV per atom
V: 17.6 Å³ per atom
total energy: -6.3135 eV per atom
DOS(E_F): 70.68 states/eV per cell

---

# 3
The following is a DFT calculation (PBE) of a relaxed LaNiPt2 crystal.

abc: 4.4517 4.1874 4.4654
angles: 90.00 107.93 90.00
With the nearest neighbours (Å) after each atom.
Space group P2/m (No. 10)
Inequivalent atoms, fractional coordinates:
La 0.0000 0.0000 0.0000 [1 per cell]  2 Ni 2.62
Ni 0.5000 0.0000 0.5000 [1 per cell]  4 Pt 2.51, 2 La 2.62
Pt 0.3084 0.5000 0.6921 [2 per cell]  2 Ni 2.51, 3 Pt 2.75-2.77

Results
ΔH_f (0 K): -0.55 eV per atom
V: 19.8 Å³ per atom
total energy: -6.2487 eV per atom
DOS(E_F): 3.15 states/eV per cell

---

# 4
The following is a DFT calculation (PBE) of a relaxed LaNiPt2 crystal.

abc: 5.4737 5.4737 25.4797
angles: 90.00 90.00 120.00
With the nearest neighbours (Å) after each atom.
Space group R-3m (No. 166, hexagonal axes)
Inequivalent atoms, fractional coordinates:
La 0.0000 0.0000 0.0000 [3 per cell]  6 Ni 3.16, 12 Pt 3.44
La 0.0000 0.0000 0.1404 [6 per cell]  9 Pt 3.12-3.24, 3 Ni 3.23, 3 La 3.43
Ni 0.0000 0.0000 0.3326 [6 per cell]  6 Pt 2.60-2.63
Ni 0.0000 0.0000 0.5000 [3 per cell]  6 Pt 2.68
Pt 0.0001 0.5001 0.0819 [18 per cell]  3 Ni 2.60-2.68, 4 Pt 2.74

Results
ΔH_f (0 K): -0.82 eV per atom
V: 18.4 Å³ per atom
total energy: -6.5214 eV per atom
DOS(E_F): 38.97 states/eV per cell

---

# 5
The following is a DFT calculation (PBE) of a relaxed LaNiPt2 crystal.

abc: 4.0610 4.4217 4.8614
angles: 90.00 92.52 90.00
With the nearest neighbours (Å) after each atom.
Space group Pm (No. 6)
Inequivalent atoms, fractional coordinates:
La 0.0000 0.0000 0.0000 [1 per cell]  8 Pt 3.04-3.32, 4 Ni 3.20-3.34
Ni 0.5413 0.5000 0.2671 [1 per cell]  4 Pt 2.39-2.50
Pt 0.4734 0.5000 0.7763 [1 per cell]  2 Ni 2.39-2.50, 2 Pt 2.64
Pt 0.5050 0.0000 0.4804 [1 per cell]  2 Ni 2.45, 2 Pt 2.64

Results
ΔH_f (0 K): -0.59 eV per atom
V: 21.8 Å³ per atom
total energy: -6.2863 eV per atom
DOS(E_F): 2.61 states/eV per cell

---

# 6
The following is a DFT calculation (PBE) of a relaxed LaNi4Pt crystal.

abc: 4.9486 9.1314 4.0403
angles: 90.00 90.00 90.00
With the nearest neighbours (Å) after each atom.
Space group Cmmm (No. 65)
Inequivalent atoms, fractional coordinates:
La 0.0000 0.0000 0.0000 [2 per cell]  6 Ni 2.90-2.98, 4 Pt 3.19
Ni 0.0000 0.3176 0.0000 [4 per cell]  4 Ni 2.45, 2 Pt 2.62
Ni 0.2500 0.2500 0.5000 [4 per cell]  6 Ni 2.45-2.47, 2 Pt 2.60
Pt 0.0000 0.5000 0.5000 [2 per cell]  8 Ni 2.60-2.62

Results
ΔH_f (0 K): -0.46 eV per atom
V: 15.2 Å³ per atom
total energy: -6.1398 eV per atom
DOS(E_F): 14.06 states/eV per cell

---

What is the ΔH_f (0 K) in the second record?
-0.42 eV per atom

---

What is the formula in the second record?
La2Ni2Pt15

---

Number 2 is which compound?
La2Ni2Pt15